No. 1
VASP calculation (GGA-PBE) on crystalline Tb4HgRu at its relaxed geometry.

Values from the calculation:
crystal system: monoclinic
calculated formation energy: -131 kJ/mol of formula units
space group: P2_1/c (14)

a = 6.7786 Å, b = 6.9676 Å, c = 7.5382 Å
α = 90.00°, β = 91.04°, γ = 90.00°
Atoms (fractional coordinates):
Ru: 0.0000 0.5000 0.5000
Tb: 0.6324 0.1475 0.8047
Tb: 0.1679 0.8475 0.6396
Hg: 0.5000 0.5000 0.0000
Tb: 0.6679 0.6525 0.6396
Tb: 0.1324 0.3525 0.8047
Ru: 0.5000 0.0000 0.5000
Tb: 0.8321 0.1525 0.3604
Tb: 0.8676 0.6475 0.1953
Tb: 0.3321 0.3475 0.3604
Tb: 0.3676 0.8525 0.1953
Hg: 0.0000 0.0000 0.0000



No. 2
VASP calculation (GGA-PBE) on crystalline Ca2H6Os at its relaxed geometry.

Values from the calculation:
VASP energy: -4.548 eV/atom
crystal system: cubic
space group: Fm-3m (225)

a = 5.0922 Å, b = 5.0922 Å, c = 5.0922 Å
α = 60.00°, β = 60.00°, γ = 60.00°
Atoms (fractional coordinates):
H: 0.7605 0.2395 0.7605
H: 0.2395 0.2395 0.7605
Ca: 0.2500 0.2500 0.2500
H: 0.7605 0.2395 0.2395
H: 0.2395 0.7605 0.2395
Ca: 0.7500 0.7500 0.7500
Os: 0.0000 0.0000 0.0000
H: 0.7605 0.7605 0.2395
H: 0.2395 0.7605 0.7605



No. 3
VASP calculation (GGA-PBE) on crystalline MgGaCu4 at its relaxed geometry.

Values from the calculation:
crystal system: orthorhombic
calculated formation energy: -33 kJ/mol of formula units
space group: Cmcm (63)

a = 3.8831 Å, b = 5.2815 Å, c = 8.5641 Å
α = 90.00°, β = 103.10°, γ = 90.00°
Atoms (fractional coordinates):
Cu: 0.9275 0.2500 0.8551
Cu: 0.6519 0.5186 0.3038
Cu: 0.6519 0.9814 0.3038
Ga: 0.2274 0.7500 0.4548
Cu: 0.3481 0.4814 0.6962
Ga: 0.7726 0.2500 0.5452
Cu: 0.0725 0.7500 0.1449
Cu: 0.5000 0.0000 0.0000
Cu: 0.3481 0.0186 0.6962
Mg: 0.0890 0.2500 0.1780
Mg: 0.9110 0.7500 0.8220
Cu: 0.5000 0.5000 0.0000



No. 4
VASP calculation (GGA-PBE) on crystalline LaAlTc2 at its relaxed geometry.

Values from the calculation:
crystal system: orthorhombic
calculated formation energy: 60 kJ/mol of formula units
space group: Imm2 (44)

a = 5.8124 Å, b = 5.8124 Å, c = 5.8124 Å
α = 148.99°, β = 131.52°, γ = 58.66°
Atoms (fractional coordinates):
Al: 0.5270 0.5270 0.0000
Tc: 0.9724 0.9724 0.0000
La: 0.2382 0.7382 0.5000
Tc: 0.7624 0.2624 0.5000



Number 1: D(E_F) 9.75 states/eV/cell. Number 2: D(E_F) 0.00 states/eV/cell. Number 3: D(E_F) 4.08 states/eV/cell. Number 4: D(E_F) 3.58 states/eV/cell.